A geometry-optimized ZrGeRu2 structure, computed with PBE.

For the formation enthalpy at 0 K, the calculation gives -0.532 eV per atom. As for the calculated total energy: -8.4618 eV/atom.

The space group is P4/mmm (No. 123) and the conventional cell measures 4.357, 4.357 and 3.295 Å, with angles of 90.00, 90.00 and 90.00 degrees. The inequivalent atoms are Zr at (0.000, 0.000, 0.000), Ge at (0.500, 0.500, 0.000) and Ru at (0.000, 0.500, 0.500).